1.
A relaxed structure of CaPmF, computed with PBE.

Computed properties:
Magnetic moment ... 0.0152 μB per atom
ΔE_f (raw) ... -1.56 eV per atom

a = 3.6560 Å, b = 3.6560 Å, c = 6.3754 Å
α = 90.00°, β = 90.00°, γ = 120.00°
Each line ends with the local moment (μB).
Fractional coordinates of all 3 atoms:
F  0.3333  0.6667  0.6344  0.01
Ca  0.6667  0.3333  0.4230  0.05
Pm  0.0000  0.0000  0.9425  -0.07

2.
A relaxed structure of CaPmF5, computed with PBE.

Computed properties:
Magnetic moment ... 0.0000 μB per atom
ΔE_f (raw) ... -3.95 eV per atom

a = 4.9360 Å, b = 4.9360 Å, c = 7.9516 Å
α = 92.47°, β = 92.47°, γ = 88.28°
Fractional coordinates of all 14 atoms:
F  0.1640  0.8360  0.7500
F  0.9470  0.3715  0.6735
F  0.5954  0.7441  0.5067
F  0.2559  0.4046  0.9933
F  0.3715  0.9470  0.1735
F  0.0530  0.6285  0.3265
F  0.4046  0.2559  0.4933
F  0.8360  0.1640  0.2500
F  0.7441  0.5954  0.0067
F  0.6285  0.0530  0.8265
Pm  0.5046  0.4954  0.7500
Pm  0.4954  0.5046  0.2500
Ca  0.0000  0.0000  0.0000
Ca  0.0000  0.0000  0.5000

3.
A relaxed structure of CaPm2F8, computed with PBE.

Computed properties:
Magnetic moment ... 0.0000 μB per atom
ΔE_f (raw) ... -4.05 eV per atom

a = 3.8226 Å, b = 5.6262 Å, c = 7.5181 Å
α = 109.22°, β = 104.73°, γ = 90.00°
Fractional coordinates of all 11 atoms:
Pm  0.1739  0.6831  0.3478
Pm  0.8261  0.3169  0.6522
F  0.0369  0.8059  0.0739
F  0.3241  0.0362  0.6482
F  0.6759  0.9638  0.3518
F  0.4035  0.5564  0.8070
F  0.7841  0.6786  0.5681
F  0.9631  0.1941  0.9261
F  0.5965  0.4436  0.1930
F  0.2159  0.3214  0.4319
Ca  0.5000  0.0000  0.0000

4.
A relaxed structure of CaPmF, computed with PBE.

Computed properties:
Magnetic moment ... 0.3016 μB per atom
ΔE_f (raw) ... -1.53 eV per atom

a = 3.7311 Å, b = 3.7308 Å, c = 12.2610 Å
α = 90.00°, β = 90.00°, γ = 120.00°
Each line ends with the local moment (μB).
Fractional coordinates of all 6 atoms:
F  0.1109  0.2218  0.1093  0.03
F  0.1109  0.2218  0.8907  0.03
Ca  0.4444  0.8888  0.0000  0.13
Ca  0.4453  0.8906  0.5000  0.07
Pm  0.7776  0.5551  0.2513  0.23
Pm  0.7776  0.5551  0.7487  0.23

5.
A relaxed structure of CaPmF4, computed with PBE.

Computed properties:
Magnetic moment ... 0.0000 μB per atom
ΔE_f (raw) ... -3.66 eV per atom

a = 3.8309 Å, b = 3.8311 Å, c = 6.0043 Å
α = 90.00°, β = 90.00°, γ = 90.00°
Fractional coordinates of all 6 atoms:
Ca  0.0013  0.9973  0.4981
F  0.0013  0.4972  0.2688
F  0.0013  0.4973  0.7275
F  0.5013  0.9974  0.7275
F  0.5013  0.9972  0.2688
Pm  0.5013  0.4973  0.9981

6.
A relaxed structure of Ca2PmF, computed with PBE.

Computed properties:
Magnetic moment ... 0.1586 μB per atom
ΔE_f (raw) ... -1.04 eV per atom

a = 3.5953 Å, b = 3.5953 Å, c = 10.2957 Å
α = 79.94°, β = 79.94°, γ = 60.00°
Each line ends with the local moment (μB).
Fractional coordinates of all 4 atoms:
Ca  0.8858  0.8858  0.3425  0.13
Ca  0.1142  0.1142  0.6575  0.13
F  0.5000  0.5000  0.5000  0.02
Pm  0.0000  0.0000  0.0000  -0.10

7.
A relaxed structure of Rb2Ca3PmF12, computed with PBE.

Computed properties:
Magnetic moment ... 0.0735 μB per atom
ΔE_f (raw) ... -3.40 eV per atom

a = 8.4649 Å, b = 8.4649 Å, c = 8.4649 Å
α = 57.49°, β = 57.49°, γ = 57.49°
Each line ends with the local moment (μB).
Fractional coordinates of all 18 atoms:
Pm  0.0000  0.0000  0.0000  0.00
F  0.9332  0.9332  0.3221  0.06
F  0.6653  0.0943  0.6653  0.14
F  0.3221  0.9332  0.9332  0.06
F  0.3347  0.9057  0.3347  0.14
F  0.0943  0.6653  0.6653  0.14
F  0.0668  0.6779  0.0668  0.06
F  0.0668  0.0668  0.6779  0.06
F  0.9332  0.3221  0.9332  0.06
F  0.6779  0.0668  0.0668  0.06
F  0.3347  0.3347  0.9057  0.14
F  0.6653  0.6653  0.0943  0.14
F  0.9057  0.3347  0.3347  0.14
Rb  0.5926  0.5926  0.5926  0.00
Rb  0.4074  0.4074  0.4074  0.00
Ca  0.0000  0.0000  0.5000  0.00
Ca  0.0000  0.5000  0.0000  0.00
Ca  0.5000  0.0000  0.0000  0.00

8.
A relaxed structure of Ca3PmTl2F12, computed with PBE.

Computed properties:
Magnetic moment ... 0.0802 μB per atom
ΔE_f (raw) ... -3.16 eV per atom

a = 8.4848 Å, b = 8.4848 Å, c = 8.4848 Å
α = 55.38°, β = 55.38°, γ = 55.38°
Each line ends with the local moment (μB).
Fractional coordinates of all 18 atoms:
F  0.8818  0.3555  0.3555  0.10
F  0.0601  0.0601  0.6786  0.03
F  0.1182  0.6445  0.6445  0.10
F  0.3214  0.9399  0.9399  0.03
F  0.6786  0.0601  0.0601  0.03
F  0.9399  0.9399  0.3214  0.03
F  0.3555  0.3555  0.8818  0.10
F  0.6445  0.6445  0.1182  0.10
F  0.9399  0.3214  0.9399  0.03
F  0.0601  0.6786  0.0601  0.03
F  0.6445  0.1182  0.6445  0.10
F  0.3555  0.8818  0.3555  0.10
Pm  0.0000  0.0000  0.0000  0.00
Ca  0.5000  0.0000  0.0000  0.00
Ca  0.0000  0.0000  0.5000  0.00
Ca  0.0000  0.5000  0.0000  0.00
Tl  0.4253  0.4253  0.4253  0.20
Tl  0.5747  0.5747  0.5747  0.20

9.
A relaxed structure of CaPr2F, computed with PBE.

Computed properties:
Magnetic moment ... 0.0000 μB per atom
ΔE_f (raw) ... -0.98 eV per atom

a = 3.8418 Å, b = 3.8418 Å, c = 9.8833 Å
α = 78.79°, β = 78.79°, γ = 60.00°
Fractional coordinates of all 4 atoms:
Pr  0.1185  0.1185  0.6444
Pr  0.8815  0.8815  0.3556
F  0.5000  0.5000  0.5000
Ca  0.0000  0.0000  0.0000

10.
A relaxed structure of CaPr2F8, computed with PBE.

Computed properties:
Magnetic moment ... 0.0140 μB per atom
ΔE_f (raw) ... -3.95 eV per atom

a = 4.0760 Å, b = 5.5272 Å, c = 7.1509 Å
α = 112.74°, β = 106.56°, γ = 90.00°
Fractional coordinates of all 11 atoms:
F  0.0000  0.2677  0.0000
F  0.6417  0.8815  0.2835
F  0.1960  0.1960  0.3920
F  0.3583  0.1185  0.7165
F  0.0000  0.7323  0.0000
F  0.6417  0.4019  0.2835
F  0.8040  0.8040  0.6080
F  0.3583  0.5981  0.7165
Ca  0.5000  0.0000  0.0000
Pr  0.1734  0.6734  0.3469
Pr  0.8266  0.3266  0.6531

11.
A relaxed structure of CaPrF, computed with PBE.

Computed properties:
Magnetic moment ... 0.0382 μB per atom
ΔE_f (raw) ... -1.60 eV per atom

a = 3.6752 Å, b = 3.6752 Å, c = 7.6442 Å
α = 90.00°, β = 90.00°, γ = 120.00°
Fractional coordinates of all 3 atoms:
Ca  0.6667  0.3333  0.4426
F  0.3333  0.6667  0.5512
Pr  0.0000  0.0000  0.0062

12.
A relaxed structure of Ca3PrF8, computed with PBE.

Computed properties:
Magnetic moment ... 0.0819 μB per atom
ΔE_f (raw) ... -3.76 eV per atom

a = 5.6120 Å, b = 5.6120 Å, c = 5.6120 Å
α = 90.00°, β = 90.00°, γ = 90.00°
Each line ends with the local moment (μB).
Fractional coordinates of all 12 atoms:
F  0.2563  0.7437  0.7437  0.01
F  0.7437  0.7437  0.2563  0.01
F  0.2563  0.2563  0.2563  0.01
F  0.7437  0.2563  0.2563  0.01
F  0.2563  0.2563  0.7437  0.01
F  0.2563  0.7437  0.2563  0.01
F  0.7437  0.7437  0.7437  0.01
F  0.7437  0.2563  0.7437  0.01
Ca  0.0000  0.5000  0.5000  0.02
Ca  0.5000  0.0000  0.5000  0.02
Ca  0.5000  0.5000  0.0000  0.02
Pr  0.0000  0.0000  0.0000  0.37